A relaxed structure of Pa2BeCo4As3. Source: Alexandria, functional PBE-GGA.

abc: 3.952 3.952 9.571
angles: 90.00 90.00 90.00
Last column: magnetic moment on the atom in μB.
Fractional positions:
Pa (0.500, 0.000, 0.256)  -0.08
Pa (0.000, 0.500, 0.744)  -0.08
As (0.000, 0.000, 0.500)  0.00
As (0.000, 0.500, 0.134)  0.01
As (0.500, 0.000, 0.866)  0.01
Be (0.500, 0.500, 0.500)  0.00
Co (0.500, 0.500, 0.000)  0.71
Co (0.500, 0.000, 0.626)  0.02
Co (0.000, 0.500, 0.374)  0.02
Co (0.000, 0.000, 0.000)  0.72

- D(E_F): 0.604 states/eV/atom
- Total moment: 1.3 μB per formula unit
- E_form: -652 meV per atom


A relaxed structure of BeCo2ReAs. Source: Alexandria, functional PBE-GGA.

abc: 4.501 4.652 4.501
angles: 90.00 90.00 90.00
Last column: magnetic moment on the atom in μB.
Fractional positions:
As (0.000, 0.500, 0.000)  0.03
Re (0.000, 0.000, 0.000)  -0.05
Be (0.500, 0.500, 0.500)  -0.03
Co (0.500, 0.000, 0.000)  0.35
Co (0.000, 0.000, 0.500)  0.62

- D(E_F): 1.140 states/eV/atom
- Total moment: 0.9 μB per formula unit
- E_form: 1521 meV per atom


A relaxed structure of BeCoAsRu. Source: Alexandria, functional PBE-GGA.

abc: 4.033 4.033 4.033
angles: 60.00 60.00 60.00
Fractional positions:
Ru (0.750, 0.750, 0.750)
As (0.000, 0.000, 0.000)
Be (0.500, 0.500, 0.500)
Co (0.250, 0.250, 0.250)

- D(E_F): 0.351 states/eV/atom
- Total moment: 0.0 μB per formula unit
- E_form: -189 meV per atom


A relaxed structure of BeCo2SbAs. Source: Alexandria, functional PBE-GGA.

abc: 4.188 4.188 4.455
angles: 90.00 90.00 90.00
Last column: magnetic moment on the atom in μB.
Fractional positions:
Co (0.000, 0.500, 0.000)  0.96
Co (0.500, 0.000, 0.000)  0.96
As (0.500, 0.500, 0.500)  -0.01
Be (0.000, 0.000, 0.000)  -0.07
Sb (0.000, 0.000, 0.500)  0.01

- Formation energy from raw total energies: 0.7414 eV/atom
- D(E_F): 0.806 states/eV/atom
- Total moment: 1.8 μB per formula unit


A relaxed structure of BeCoAsSe2. Source: Alexandria, functional PBE-GGA.

abc: 4.680 4.680 4.219
angles: 90.00 90.00 90.00
Last column: magnetic moment on the atom in μB.
Fractional positions:
Co (0.500, 0.500, 0.500)  2.02
As (0.000, 0.000, 0.500)  -0.06
Se (0.500, 0.000, 0.000)  0.01
Se (0.000, 0.500, 0.000)  0.01
Be (0.000, 0.000, 0.000)  -0.01

- Formation energy from raw total energies: 0.7312 eV/atom
- D(E_F): 1.221 states/eV/atom
- Total moment: 1.9 μB per formula unit


A relaxed structure of BeCoAsSe2. Source: Alexandria, functional PBE-GGA.

abc: 4.845 4.845 4.272
angles: 90.00 90.00 90.00
Fractional positions:
Se (0.500, 0.000, 0.000)
Se (0.000, 0.500, 0.000)
Be (0.500, 0.500, 0.500)
Co (0.000, 0.000, 0.000)
As (0.000, 0.000, 0.500)

- Formation energy from raw total energies: 0.7163 eV/atom
- D(E_F): 0.679 states/eV/atom
- Total moment: 0.0 μB per formula unit


A relaxed structure of BeCoAsSe2. Source: Alexandria, functional PBE-GGA.

abc: 5.235 3.996 5.235
angles: 90.00 90.00 90.00
Last column: magnetic moment on the atom in μB.
Fractional positions:
Se (0.000, 0.000, 0.500)  0.07
Se (0.500, 0.000, 0.000)  0.07
Co (0.500, 0.500, 0.500)  2.21
As (0.000, 0.000, 0.000)  -0.04
Be (0.000, 0.500, 0.000)  -0.01

- Formation energy from raw total energies: 0.8319 eV/atom
- D(E_F): 1.356 states/eV/atom
- Total moment: 2.3 μB per formula unit


A relaxed structure of TiBeCoAs2. Source: Alexandria, functional PBE-GGA.

abc: 4.399 4.585 4.399
angles: 90.00 90.00 90.00
Fractional positions:
Ti (0.000, 0.500, 0.000)
As (0.500, 0.000, 0.000)
As (0.000, 0.000, 0.500)
Co (0.000, 0.000, 0.000)
Be (0.500, 0.500, 0.500)

- D(E_F): 0.730 states/eV/atom
- Total moment: 0.0 μB per formula unit
- E_form: 557 meV per atom


no.,calculated volume (A^3/atom),ρ (kg/m3)
1,14.9,10350
2,18.8,6836
3,11.6,8734
4,15.6,6875
5,18.5,5405
6,20.1,4981
7,21.9,4562
8,17.7,4972